Record 1
Crystalline Mg3ZnNi at its relaxed geometry, computed with GGA-PBEsol.

**Electronic total energy**: -2.342 eV/atom
**Formation enthalpy at 0 K**: 0.2364 eV per atom
**Crystal system**: cubic

Cell: 4.732 4.732 4.732 Å, 90.00 90.00 90.00°
Space group Pm-3m (No. 221)
Symmetry-distinct sites (fractional):
Mg: 0.000 0.000 0.500
Zn: 0.500 0.500 0.500
Ni: 0.000 0.000 0.000

---

Record 2
Crystalline Be3In at its relaxed geometry, computed with GGA-PBEsol.

**Electronic total energy**: -3.219 eV/atom
**Formation enthalpy at 0 K**: 0.5270 eV per atom
**Relative energy among the computed polymorphs**: 0 meV per atom
**Crystal system**: orthorhombic

Cell: 2.951 3.491 4.874 Å, 90.00 90.00 90.00°
Space group Pmmm (No. 47)
Symmetry-distinct sites (fractional):
Be: 0.000 0.000 0.000
Be: 0.500 0.500 0.218
In: 0.000 0.000 0.500

---

Record 3
Crystalline SrLaRh3 at its relaxed geometry, computed with GGA-PBEsol.

**Electronic total energy**: -5.902 eV/atom
**Formation enthalpy at 0 K**: 0.4180 eV per atom
**Crystal system**: cubic

Cell: 4.915 4.915 4.915 Å, 90.00 90.00 90.00°
Space group Pm-3m (No. 221)
Symmetry-distinct sites (fractional):
Sr: 0.000 0.000 0.000
La: 0.500 0.500 0.500
Rh: 0.000 0.500 0.500

---

Record 4
Crystalline CdPtCl at its relaxed geometry, computed with GGA-PBEsol.

**Electronic total energy**: -3.401 eV/atom
**Formation energy without anion corrections**: -0.01 eV/atom
**Relative energy among the computed polymorphs**: 0 meV per atom
**Crystal system**: tetragonal

Cell: 3.074 3.074 11.393 Å, 90.00 90.00 90.00°
Space group I4mm (No. 107)
Symmetry-distinct sites (fractional):
Cd: 0.000 0.000 0.000
Pt: 0.000 0.000 0.350
Cl: 0.000 0.000 0.672

---

Record 5
Crystalline LiTl2InS at its relaxed geometry, computed with GGA-PBEsol.

**Electronic total energy**: -3.034 eV/atom
**Formation energy without anion corrections**: -0.12 eV/atom
**Crystal system**: tetragonal

Cell: 5.390 5.390 4.282 Å, 90.00 90.00 90.00°
Space group P4/mmm (No. 123)
Symmetry-distinct sites (fractional):
Li: 0.000 0.000 0.000
Tl: 0.000 0.500 0.000
In: 0.500 0.500 0.500
S: 0.000 0.000 0.500

---

Record 6
Crystalline CaMgRe2 at its relaxed geometry, computed with GGA-PBEsol.

**Electronic total energy**: -6.996 eV/atom
**Formation enthalpy at 0 K**: 0.6325 eV per atom
**Crystal system**: orthorhombic

Cell: 3.283 4.355 4.799 Å, 90.00 90.00 90.00°
Space group Pmmm (No. 47)
Symmetry-distinct sites (fractional):
Ca: 0.000 0.000 0.000
Mg: 0.500 0.500 0.000
Re: 0.000 0.500 0.500
Re: 0.500 0.000 0.500

---

Record 7
Crystalline NbTcSb2I at its relaxed geometry, computed with GGA-PBEsol.

**Electronic total energy**: -5.466 eV/atom
**Formation energy without anion corrections**: 1.13 eV/atom
**Crystal system**: tetragonal

Cell: 4.984 4.984 5.524 Å, 90.00 90.00 90.00°
Space group P4/mmm (No. 123)
Symmetry-distinct sites (fractional):
Nb: 0.000 0.000 0.000
Tc: 0.500 0.500 0.500
Sb: 0.000 0.500 0.500
I: 0.500 0.500 0.000

---

Record 8
Crystalline Li2CuF4 at its relaxed geometry, computed with GGA-PBEsol.

**Electronic total energy**: -4.557 eV/atom
**Formation energy without anion corrections**: -2.28 eV/atom
**Relative energy among the computed polymorphs**: 51 meV per atom
**Crystal system**: orthorhombic

Cell: 5.828 8.022 3.068 Å, 90.00 90.00 90.00°
Space group Cmmm (No. 65)
Symmetry-distinct sites (fractional):
Li: 0.250 0.250 0.000
Cu: 0.000 0.000 0.500
F: 0.000 0.239 0.500
F: 0.230 0.000 0.000

---

Record 9
Crystalline Mg3Cd at its relaxed geometry, computed with GGA-PBEsol.

**Electronic total energy**: -1.649 eV/atom
**Formation enthalpy at 0 K**: -0.0620 eV per atom
**Crystal system**: orthorhombic

Cell: 3.144 10.089 5.411 Å, 90.00 90.00 90.00°
Space group Imm2 (No. 44)
Symmetry-distinct sites (fractional):
Mg: 0.000 0.000 0.000
Mg: 0.000 0.244 0.342
Cd: 0.000 0.500 0.012

---

Record 10
Crystalline UCdMo4O16 at its relaxed geometry, computed with GGA-PBEsol.

**Electronic total energy**: -8.671 eV/atom
**Formation energy without anion corrections**: -2.11 eV/atom
**Crystal system**: monoclinic

Cell: 8.075 6.610 13.957 Å, 90.00 125.02 90.00°
Space group P2/c (No. 13)
Symmetry-distinct sites (fractional):
U: 0.000 0.204 0.250
Cd: 0.500 0.198 0.250
Mo: 0.201 0.329 0.908
Mo: 0.303 0.328 0.596
O: 0.000 0.439 0.750
O: 0.091 0.347 0.597
O: 0.128 0.074 0.872
O: 0.185 0.349 0.433
O: 0.225 0.202 0.248
O: 0.314 0.350 0.063
O: 0.365 0.077 0.625
O: 0.408 0.344 0.903
O: 0.500 0.434 0.750

---

Record 11
Crystalline Y2CuTe at its relaxed geometry, computed with GGA-PBEsol.

**Electronic total energy**: -5.888 eV/atom
**Formation energy without anion corrections**: -0.51 eV/atom
**Crystal system**: tetragonal

Cell: 4.203 4.203 10.630 Å, 90.00 90.00 90.00°
Space group I-4m2 (No. 119)
Symmetry-distinct sites (fractional):
Y: 0.000 0.000 0.000
Y: 0.000 0.500 0.250
Cu: 0.000 0.000 0.500
Te: 0.000 0.500 0.750

---

Record 12
Crystalline MnSbTe2 at its relaxed geometry, computed with GGA-PBEsol.

**Electronic total energy**: -5.185 eV/atom
**Formation energy without anion corrections**: 0.16 eV/atom
**Crystal system**: orthorhombic

Cell: 3.541 4.786 11.824 Å, 90.00 90.00 90.00°
Space group Imm2 (No. 44)
Symmetry-distinct sites (fractional):
Mn: 0.000 0.000 0.000
Sb: 0.000 0.500 0.317
Te: 0.000 0.000 0.476
Te: 0.000 0.500 0.671